[1]
Entry from Alexandria via LeMat-Bulk: a relaxed structure of Dy2GaRu2 (PBE).

Unit cell a=5.6594 b=5.6594 c=7.7693 alpha=103.54 beta=103.54 gamma=57.83
With the nearest neighbours (Å) after each atom.
Sites, in units of the cell vectors:
Dy  0.0063  0.7043  0.8550  6 Ru 2.91-3.21, 2 Ga 3.18-3.25
Dy  0.2957  0.9937  0.6450  6 Ru 2.91-3.21, 2 Ga 3.18-3.25
Dy  0.7043  0.0063  0.3550  6 Ru 2.91-3.21, 2 Ga 3.18-3.25
Dy  0.9937  0.2957  0.1450  6 Ru 2.91-3.21, 2 Ga 3.18-3.25
Ga  0.3729  0.6271  0.2500  4 Ru 2.58-2.62
Ga  0.6271  0.3729  0.7500  4 Ru 2.58-2.62
Ru  0.2101  0.5132  0.4869  1 Ru 2.52, 2 Ga 2.58-2.62
Ru  0.4868  0.7899  0.0131  1 Ru 2.52, 2 Ga 2.58-2.62
Ru  0.5132  0.2101  0.9869  1 Ru 2.52, 2 Ga 2.58-2.62
Ru  0.7899  0.4868  0.5131  1 Ru 2.52, 2 Ga 2.58-2.62

Its space group is C2/c, No. 15. The formation energy is -2.44 eV/f.u.

[2]
Entry from Alexandria via LeMat-Bulk: a relaxed structure of NdAlSe2 (PBE).

Unit cell a=8.9329 b=8.9329 c=8.9329 alpha=24.36 beta=24.36 gamma=24.36
With the nearest neighbours (Å) after each atom.
Sites, in units of the cell vectors:
Nd  0.0000  0.0000  0.0000  2 Se 2.93
Al  0.5000  0.5000  0.5000  6 Se 2.59
Se  0.1126  0.1126  0.1126  3 Al 2.59
Se  0.8874  0.8874  0.8874  3 Al 2.59

Its space group is R-3m, No. 166. Its energy relative to the elements, uncorrected is -0.760 eV/atom.

[3]
Entry from Alexandria via LeMat-Bulk: a relaxed structure of Rb2CrRuI6 (PBE).

Unit cell a=8.0177 b=8.0177 c=8.0177 alpha=60.00 beta=60.00 gamma=60.00
With the nearest neighbours (Å) after each atom.
Sites, in units of the cell vectors:
Rb  0.2500  0.2500  0.2500  12 I 4.01
Rb  0.7500  0.7500  0.7500  12 I 4.01
Cr  0.0000  0.0000  0.0000  6 I 2.89
Ru  0.5000  0.5000  0.5000  6 I 2.78
I  0.2550  0.2550  0.7450  1 Ru 2.78, 1 Cr 2.89
I  0.2550  0.7450  0.2550  1 Ru 2.78, 1 Cr 2.89
I  0.2550  0.7450  0.7450  1 Ru 2.78, 1 Cr 2.89
I  0.7450  0.2550  0.2550  1 Ru 2.78, 1 Cr 2.89
I  0.7450  0.2550  0.7450  1 Ru 2.78, 1 Cr 2.89
I  0.7450  0.7450  0.2550  1 Ru 2.78, 1 Cr 2.89

Its space group is Fm-3m, No. 225. Its energy relative to the elements, uncorrected is -0.533 eV/atom.

[4]
Entry from Alexandria via LeMat-Bulk: a relaxed structure of SbTe2PtS (PBE).

Unit cell a=5.1025 b=5.1025 c=5.1625 alpha=90.00 beta=90.00 gamma=90.00
With the nearest neighbours (Å) after each atom.
Sites, in units of the cell vectors:
Sb  0.0000  0.0000  0.0000  2 S 2.58
Te  0.0000  0.5000  0.5000  2 S 2.55
Te  0.5000  0.0000  0.5000  2 S 2.55
Pt  0.5000  0.5000  0.0000  4 Sb 3.61, 8 Te 3.63
S  0.0000  0.0000  0.5000  4 Te 2.55, 2 Sb 2.58

Its space group is P4/mmm, No. 123. Its energy relative to the elements, uncorrected is 0.886 eV/atom.

The following total DFT energy (no corrections) values (in eV/atom) correspond, in order, to the records above: -6.65; -4.63; -3.55; -3.23.